Entry from Alexandria: a geometry-optimized UIn3Pd12 structure (PBE).

a = 4.0639 Å, b = 4.0639 Å, c = 16.2284 Å
α = 90.00°, β = 90.00°, γ = 90.00°
Last column: nearest neighbours and their distance in Å.
Atoms (fractional coordinates):
1 U 0.0000 0.0000 0.0000  12 Pd 2.85-2.87
2 In 0.0000 0.0000 0.2562  12 Pd 2.81-2.97
3 In 0.0000 0.0000 0.5000  12 Pd 2.86-2.87
4 In 0.0000 0.0000 0.7438  12 Pd 2.81-2.97
5 Pd 0.5000 0.5000 0.0000  8 Pd 2.85, 4 U 2.87
6 Pd 0.5000 0.5000 0.2495  4 In 2.88, 8 Pd 2.89
7 Pd 0.5000 0.5000 0.5000  8 Pd 2.86, 4 In 2.87
8 Pd 0.5000 0.5000 0.7505  4 In 2.88, 8 Pd 2.89
9 Pd 0.5000 0.0000 0.1229  2 U 2.85, 8 Pd 2.85-2.89, 2 In 2.97
10 Pd 0.5000 0.0000 0.3760  4 In 2.81-2.86, 8 Pd 2.86-2.89
11 Pd 0.5000 0.0000 0.6240  4 In 2.81-2.86, 8 Pd 2.86-2.89
12 Pd 0.5000 0.0000 0.8771  2 U 2.85, 8 Pd 2.85-2.89, 2 In 2.97
13 Pd 0.0000 0.5000 0.1229  2 U 2.85, 8 Pd 2.85-2.89, 2 In 2.97
14 Pd 0.0000 0.5000 0.3760  4 In 2.81-2.86, 8 Pd 2.86-2.89
15 Pd 0.0000 0.5000 0.6240  4 In 2.81-2.86, 8 Pd 2.86-2.89
16 Pd 0.0000 0.5000 0.8771  2 U 2.85, 8 Pd 2.85-2.89, 2 In 2.97

Values from the calculation:
Formation enthalpy at 0 K   -0.490 eV/atom
SG   No. 123
Electronic total energy   -5.6031 eV per atom
Fermi-level density of states   0.877 states/eV per atom
ρ   11.521 g/cm3
Total magnetization   0.93 μB per cell